[1]
This record from Alexandria via LeMat-Bulk describes an optimized crystal structure of CsLa4Pb3O12. The functional is PBE-GGA.

Summary:
The density of states at the Fermi level comes out at 8.4 states/eV per cell.

extended XYZ file:
```
20
Lattice="-0.751 6.412 -4.292 4.156 -5.251 -3.905 -7.017 -2.901 1.562" Properties=species:S:1:pos:R:3 pbc="T T T"
O -3.020 -0.264 -1.292
La 2.078 -2.626 -1.953
O -1.343 -5.301 -2.995
La -0.376 3.206 -2.146
Cs 0.000 0.000 0.000
O -5.736 0.963 -2.246
O -0.233 0.983 -3.136
O 0.958 1.389 -6.002
O -3.379 -2.723 -3.499
O -4.570 -3.129 -0.633
La -1.806 -0.870 -3.317
La -3.509 -1.450 0.781
O 2.124 -2.703 -4.389
Pb -3.884 1.756 -1.365
O -2.269 3.561 -3.640
Pb -1.431 -4.076 -1.172
O -0.592 -1.475 -5.343
O -0.343 -2.451 -2.176
O -3.269 0.711 -4.459
Pb 1.703 0.580 -4.098
```

=====

[2]
This record from Alexandria via LeMat-Bulk describes an optimized crystal structure of Cs2LaPmO4. The functional is PBE-GGA.

Summary:
The density of states at the Fermi level comes out at 0.0 states/eV per cell.

extended XYZ file:
```
8
Lattice="3.729 0.000 0.000 0.000 7.258 -0.434 0.000 2.284 6.042" Properties=species:S:1:pos:R:3 pbc="T T T"
O 3.729 2.898 1.174
Cs 1.864 1.142 3.021
O 1.864 4.069 4.258
O 0.000 6.644 4.434
O 1.864 5.474 1.350
Cs 0.000 2.284 6.042
La 0.000 4.771 2.804
Pm 1.864 3.629 -0.217
```

=====

[3]
This record from Alexandria via LeMat-Bulk describes an optimized crystal structure of Cs3La2PrO6. The functional is PBE-GGA.

Summary:
The density of states at the Fermi level comes out at 0.0 states/eV per cell.

extended XYZ file:
```
12
Lattice="-1.134 -6.305 -1.254 1.893 3.995 -4.803 6.396 -0.703 3.414" Properties=species:S:1:pos:R:3 pbc="T T T"
O 1.758 1.074 -1.356
La 0.884 0.562 -3.621
O 5.397 -4.088 -1.288
O 5.516 -1.219 1.169
Pr 0.000 0.000 0.000
Cs 3.578 -1.507 -1.322
O 0.754 -2.341 -0.179
O 1.639 -1.795 -3.812
O 6.401 -0.673 -2.465
Cs 2.568 -4.942 -0.138
La -0.125 -2.872 -2.437
Cs 4.587 1.928 -2.505
```

=====

| no. | uncorrected formation energy (eV per atom) | M_tot (μB/cell) | energy (eV/atom) |
| --- | --- | --- | --- |
| 1 | -2.10 | 0.00 | -6.6581 |
| 2 | -2.55 | 0.00 | -6.4566 |
| 3 | -2.54 | 0.00 | -6.4565 |